Record 1
# TbNdTe | Alexandria via LeMat-Bulk | PBE | optimized geometry
# offset from the most stable computed form	0.000	eV per atom
data_TbNdTe
_chemical_formula_sum 'Tb1 Nd1 Te1'
_cell_length_a 6.5250
_cell_length_b 6.5250
_cell_length_c 6.5250
_cell_angle_alpha 144.81
_cell_angle_beta 144.81
_cell_angle_gamma 50.61
_space_group_name_H-M_alt 'P 1'
_space_group_IT_number 1
loop_
_space_group_symop_operation_xyz
'x,y,z'
loop_
_atom_site_label
_atom_site_type_symbol
_atom_site_fract_x
_atom_site_fract_y
_atom_site_fract_z
Tb1 Tb 0.0000 0.0000 0.0000
Nd1 Nd 0.6925 0.6925 0.0000
Te1 Te 0.3579 0.3579 0.0000

Record 2
# Tb6NdTe8 | Alexandria via LeMat-Bulk | PBE | optimized geometry
# offset from the most stable computed form	0.134	eV per atom
data_Tb6NdTe8
_chemical_formula_sum 'Tb6 Nd1 Te8'
_cell_length_a 8.2121
_cell_length_b 8.2121
_cell_length_c 8.2121
_cell_angle_alpha 69.26
_cell_angle_beta 69.26
_cell_angle_gamma 69.26
_space_group_name_H-M_alt 'P 1'
_space_group_IT_number 1
loop_
_space_group_symop_operation_xyz
'x,y,z'
loop_
_atom_site_label
_atom_site_type_symbol
_atom_site_fract_x
_atom_site_fract_y
_atom_site_fract_z
Tb1 Tb 0.0794 0.6934 0.4521
Tb2 Tb 0.3066 0.5479 0.9206
Tb3 Tb 0.4521 0.0794 0.6934
Tb4 Tb 0.5479 0.9206 0.3066
Tb5 Tb 0.6934 0.4521 0.0794
Tb6 Tb 0.9206 0.3066 0.5479
Nd1 Nd 0.0000 0.0000 0.0000
Te1 Te 0.0999 0.3721 0.8084
Te2 Te 0.1916 0.9001 0.6279
Te3 Te 0.3249 0.3249 0.3249
Te4 Te 0.3721 0.8084 0.0999
Te5 Te 0.6279 0.1916 0.9001
Te6 Te 0.6751 0.6751 0.6751
Te7 Te 0.8084 0.0999 0.3721
Te8 Te 0.9001 0.6279 0.1916

Record 3
VASP calculation (PBE) on an optimized crystal structure of Tb4NdTe2.

Geometry as CIF:
```
data_Tb4NdTe2
_chemical_formula_sum 'Tb4 Nd1 Te2'
_cell_length_a 9.5227
_cell_length_b 9.5227
_cell_length_c 9.5227
_cell_angle_alpha 33.37
_cell_angle_beta 33.37
_cell_angle_gamma 33.37
_space_group_name_H-M_alt 'P 1'
_space_group_IT_number 1
loop_
_space_group_symop_operation_xyz
'x,y,z'
loop_
_atom_site_label
_atom_site_type_symbol
_atom_site_fract_x
_atom_site_fract_y
_atom_site_fract_z
Tb1 Tb 0.1337 0.1337 0.1337
Tb2 Tb 0.2668 0.2668 0.2668
Tb3 Tb 0.7332 0.7332 0.7332
Tb4 Tb 0.8663 0.8663 0.8663
Nd1 Nd 0.5000 0.5000 0.5000
Te1 Te 0.3827 0.3827 0.3827
Te2 Te 0.6173 0.6173 0.6173
```

Record 4
VASP calculation (PBE) on an optimized crystal structure of TbNd5Te6.

Geometry as CIF:
```
data_TbNd5Te6
_chemical_formula_sum 'Tb1 Nd5 Te6'
_cell_length_a 7.7698
_cell_length_b 7.7698
_cell_length_c 7.7390
_cell_angle_alpha 99.61
_cell_angle_beta 99.61
_cell_angle_gamma 120.13
_space_group_name_H-M_alt 'P 1'
_space_group_IT_number 1
loop_
_space_group_symop_operation_xyz
'x,y,z'
loop_
_atom_site_label
_atom_site_type_symbol
_atom_site_fract_x
_atom_site_fract_y
_atom_site_fract_z
Tb1 Tb 0.0000 0.0000 0.0000
Nd1 Nd 0.1733 0.8267 0.5000
Nd2 Nd 0.3323 0.6677 0.0000
Nd3 Nd 0.5000 0.5000 0.5000
Nd4 Nd 0.6677 0.3323 0.0000
Nd5 Nd 0.8267 0.1733 0.5000
Te1 Te 0.0819 0.4070 0.2449
Te2 Te 0.2425 0.2425 0.7502
Te3 Te 0.4070 0.0819 0.2449
Te4 Te 0.5930 0.9181 0.7551
Te5 Te 0.7575 0.7575 0.2498
Te6 Te 0.9181 0.5930 0.7551
```

Record 5
# TbNdTe2 | Alexandria via LeMat-Bulk | PBE | optimized geometry
# offset from the most stable computed form	0.141	eV per atom
data_TbNdTe2
_chemical_formula_sum 'Tb1 Nd1 Te2'
_cell_length_a 5.4244
_cell_length_b 5.4244
_cell_length_c 5.4244
_cell_angle_alpha 60.00
_cell_angle_beta 60.00
_cell_angle_gamma 60.00
_space_group_name_H-M_alt 'P 1'
_space_group_IT_number 1
loop_
_space_group_symop_operation_xyz
'x,y,z'
loop_
_atom_site_label
_atom_site_type_symbol
_atom_site_fract_x
_atom_site_fract_y
_atom_site_fract_z
Tb1 Tb 0.0000 0.0000 0.0000
Nd1 Nd 0.5000 0.5000 0.5000
Te1 Te 0.2500 0.2500 0.2500
Te2 Te 0.7500 0.7500 0.7500

Record 6
# Tb6NdTe8 | Alexandria via LeMat-Bulk | PBE | optimized geometry
# offset from the most stable computed form	0.000	eV per atom
data_Tb6NdTe8
_chemical_formula_sum 'Tb6 Nd1 Te8'
_cell_length_a 8.7224
_cell_length_b 8.7224
_cell_length_c 8.7224
_cell_angle_alpha 60.00
_cell_angle_beta 60.00
_cell_angle_gamma 60.00
_space_group_name_H-M_alt 'P 1'
_space_group_IT_number 1
loop_
_space_group_symop_operation_xyz
'x,y,z'
loop_
_atom_site_label
_atom_site_type_symbol
_atom_site_fract_x
_atom_site_fract_y
_atom_site_fract_z
Tb1 Tb 0.0000 0.0000 0.5000
Tb2 Tb 0.0000 0.5000 0.0000
Tb3 Tb 0.0000 0.5000 0.5000
Tb4 Tb 0.5000 0.0000 0.0000
Tb5 Tb 0.5000 0.0000 0.5000
Tb6 Tb 0.5000 0.5000 0.0000
Nd1 Nd 0.0000 0.0000 0.0000
Te1 Te 0.2500 0.2500 0.2500
Te2 Te 0.2607 0.2607 0.7393
Te3 Te 0.2607 0.7393 0.2607
Te4 Te 0.2607 0.7393 0.7393
Te5 Te 0.7393 0.2607 0.2607
Te6 Te 0.7393 0.2607 0.7393
Te7 Te 0.7393 0.7393 0.2607
Te8 Te 0.7500 0.7500 0.7500

no.,formation energy (no corrections) (eV per atom)
1,-0.782
2,-1.259
3,-0.505
4,-1.407
5,-1.250
6,-1.393